# 1
# BeFeSn2W

BeFeSn2W after structural relaxation (PBE, Alexandria via LeMat-Bulk).

Structure (CIF):
```
data_BeFeSn2W
_cell_length_a 4.713
_cell_length_b 4.713
_cell_length_c 3.850
_cell_angle_alpha 90.00
_cell_angle_beta 90.00
_cell_angle_gamma 90.00
_symmetry_space_group_name_H-M 'P 1'
_symmetry_Int_Tables_number 1
_symmetry_space_group_name_Hall 'P 1'
loop_
_atom_site_label
_atom_site_type_symbol
_atom_site_fract_x
_atom_site_fract_y
_atom_site_fract_z
Be1 Be 0.000 0.000 0.000
Fe1 Fe 0.000 0.000 0.500
Sn1 Sn 0.000 0.500 0.000
Sn2 Sn 0.500 0.000 0.000
W1 W 0.500 0.500 0.500
```

DFT total energy = -5.57 eV per atom
Theoretical density = 9.44 g/cm³
Calculated formation energy = 1.060 eV/atom
Fermi-level density of states = 1.13 states/eV per atom

***

# 2
# SrBeFe2

SrBeFe2 after structural relaxation (PBE, Alexandria via LeMat-Bulk).

Structure (CIF):
```
data_SrBeFe2
_cell_length_a 5.518
_cell_length_b 9.088
_cell_length_c 2.807
_cell_angle_alpha 90.00
_cell_angle_beta 114.90
_cell_angle_gamma 90.00
_symmetry_space_group_name_H-M 'P 1'
_symmetry_Int_Tables_number 1
_symmetry_space_group_name_Hall 'P 1'
loop_
_atom_site_label
_atom_site_type_symbol
_atom_site_fract_x
_atom_site_fract_y
_atom_site_fract_z
Sr1 Sr 0.000 0.000 0.000
Sr2 Sr 0.500 0.500 0.000
Be1 Be 0.000 0.500 0.000
Be2 Be 0.500 0.000 0.000
Fe1 Fe 0.250 0.250 0.500
Fe2 Fe 0.250 0.750 0.500
Fe3 Fe 0.750 0.250 0.500
Fe4 Fe 0.750 0.750 0.500
```

DFT total energy = -4.59 eV per atom
Theoretical density = 5.42 g/cm³
Calculated formation energy = 0.995 eV/atom
Fermi-level density of states = 0.87 states/eV per atom

***

# 3
# SrBeFe2

SrBeFe2 after structural relaxation (PBE, Alexandria via LeMat-Bulk).

Structure (CIF):
```
data_SrBeFe2
_cell_length_a 5.551
_cell_length_b 8.496
_cell_length_c 2.763
_cell_angle_alpha 90.00
_cell_angle_beta 90.00
_cell_angle_gamma 90.00
_symmetry_space_group_name_H-M 'P 1'
_symmetry_Int_Tables_number 1
_symmetry_space_group_name_Hall 'P 1'
loop_
_atom_site_label
_atom_site_type_symbol
_atom_site_fract_x
_atom_site_fract_y
_atom_site_fract_z
Sr1 Sr 0.000 0.000 0.000
Sr2 Sr 0.500 0.500 0.000
Be1 Be 0.000 0.500 0.000
Be2 Be 0.500 0.000 0.000
Fe1 Fe 0.250 0.250 0.500
Fe2 Fe 0.250 0.750 0.500
Fe3 Fe 0.750 0.250 0.500
Fe4 Fe 0.750 0.750 0.500
```

DFT total energy = -4.52 eV per atom
Theoretical density = 5.31 g/cm³
Calculated formation energy = 1.064 eV/atom
Fermi-level density of states = 1.07 states/eV per atom

***

# 4
# SrBeFe2

SrBeFe2 after structural relaxation (PBE, Alexandria via LeMat-Bulk).

Structure (CIF):
```
data_SrBeFe2
_cell_length_a 3.887
_cell_length_b 3.887
_cell_length_c 16.264
_cell_angle_alpha 90.00
_cell_angle_beta 90.00
_cell_angle_gamma 120.00
_symmetry_space_group_name_H-M 'P 1'
_symmetry_Int_Tables_number 1
_symmetry_space_group_name_Hall 'P 1'
loop_
_atom_site_label
_atom_site_type_symbol
_atom_site_fract_x
_atom_site_fract_y
_atom_site_fract_z
Sr1 Sr 0.000 0.000 0.000
Sr2 Sr 0.333 0.667 0.667
Sr3 Sr 0.667 0.333 0.333
Be1 Be 0.000 0.000 0.500
Be2 Be 0.333 0.667 0.167
Be3 Be 0.667 0.333 0.833
Fe1 Fe 0.000 0.000 0.177
Fe2 Fe 0.000 0.000 0.823
Fe3 Fe 0.333 0.667 0.489
Fe4 Fe 0.333 0.667 0.844
Fe5 Fe 0.667 0.333 0.156
Fe6 Fe 0.667 0.333 0.511
```

DFT total energy = -5.36 eV per atom
Theoretical density = 4.88 g/cm³
Calculated formation energy = 0.223 eV/atom
Fermi-level density of states = 0.85 states/eV per atom

***

# 5
# SrBe2Fe

SrBe2Fe after structural relaxation (PBE, Alexandria via LeMat-Bulk).

Structure (CIF):
```
data_SrBe2Fe
_cell_length_a 4.426
_cell_length_b 4.426
_cell_length_c 15.373
_cell_angle_alpha 90.00
_cell_angle_beta 90.00
_cell_angle_gamma 90.00
_symmetry_space_group_name_H-M 'P 1'
_symmetry_Int_Tables_number 1
_symmetry_space_group_name_Hall 'P 1'
loop_
_atom_site_label
_atom_site_type_symbol
_atom_site_fract_x
_atom_site_fract_y
_atom_site_fract_z
Sr1 Sr 0.000 0.250 0.375
Sr2 Sr 0.000 0.750 0.625
Sr3 Sr 0.500 0.250 0.125
Sr4 Sr 0.500 0.750 0.875
Be1 Be 0.000 0.000 0.000
Be2 Be 0.000 0.500 0.000
Be3 Be 0.250 0.250 0.750
Be4 Be 0.250 0.750 0.250
Be5 Be 0.500 0.000 0.500
Be6 Be 0.500 0.500 0.500
Be7 Be 0.750 0.250 0.750
Be8 Be 0.750 0.750 0.250
Fe1 Fe 0.000 0.250 0.875
Fe2 Fe 0.000 0.750 0.125
Fe3 Fe 0.500 0.250 0.625
Fe4 Fe 0.500 0.750 0.375
```

DFT total energy = -3.85 eV per atom
Theoretical density = 3.56 g/cm³
Calculated formation energy = 0.545 eV/atom
Fermi-level density of states = 1.14 states/eV per atom
Polymorph energy (0 for the lowest one) = 0.338 eV per atom

***

# 6
# SrBe2Fe

SrBe2Fe after structural relaxation (PBE, Alexandria via LeMat-Bulk).

Structure (CIF):
```
data_SrBe2Fe
_cell_length_a 3.761
_cell_length_b 5.489
_cell_length_c 7.229
_cell_angle_alpha 90.00
_cell_angle_beta 90.00
_cell_angle_gamma 90.00
_symmetry_space_group_name_H-M 'P 1'
_symmetry_Int_Tables_number 1
_symmetry_space_group_name_Hall 'P 1'
loop_
_atom_site_label
_atom_site_type_symbol
_atom_site_fract_x
_atom_site_fract_y
_atom_site_fract_z
Sr1 Sr 0.000 0.000 0.000
Sr2 Sr 0.500 0.500 0.500
Be1 Be 0.000 0.000 0.517
Be2 Be 0.000 0.500 0.154
Be3 Be 0.500 0.000 0.654
Be4 Be 0.500 0.500 0.017
Fe1 Fe 0.000 0.500 0.854
Fe2 Fe 0.500 0.000 0.354
```

DFT total energy = -3.71 eV per atom
Theoretical density = 3.59 g/cm³
Calculated formation energy = 0.691 eV/atom
Fermi-level density of states = 0.81 states/eV per atom
Polymorph energy (0 for the lowest one) = 0.484 eV per atom

***

# 7
# SrBe2Fe

SrBe2Fe after structural relaxation (PBE, Alexandria via LeMat-Bulk).

Structure (CIF):
```
data_SrBe2Fe
_cell_length_a 6.656
_cell_length_b 6.736
_cell_length_c 2.816
_cell_angle_alpha 90.00
_cell_angle_beta 90.14
_cell_angle_gamma 90.00
_symmetry_space_group_name_H-M 'P 1'
_symmetry_Int_Tables_number 1
_symmetry_space_group_name_Hall 'P 1'
loop_
_atom_site_label
_atom_site_type_symbol
_atom_site_fract_x
_atom_site_fract_y
_atom_site_fract_z
Sr1 Sr 0.000 0.000 0.000
Sr2 Sr 0.500 0.500 0.000
Be1 Be 0.250 0.250 0.500
Be2 Be 0.250 0.750 0.500
Be3 Be 0.750 0.250 0.500
Be4 Be 0.750 0.750 0.500
Fe1 Fe 0.000 0.500 0.000
Fe2 Fe 0.500 0.000 0.000
```

DFT total energy = -3.44 eV per atom
Theoretical density = 4.25 g/cm³
Calculated formation energy = 0.962 eV/atom
Fermi-level density of states = 0.54 states/eV per atom
Polymorph energy (0 for the lowest one) = 0.755 eV per atom

***

# 8
# SrBeFe2

SrBeFe2 after structural relaxation (PBE, Alexandria via LeMat-Bulk).

Structure (CIF):
```
data_SrBeFe2
_cell_length_a 4.028
_cell_length_b 4.028
_cell_length_c 8.213
_cell_angle_alpha 90.00
_cell_angle_beta 90.00
_cell_angle_gamma 90.00
_symmetry_space_group_name_H-M 'P 1'
_symmetry_Int_Tables_number 1
_symmetry_space_group_name_Hall 'P 1'
loop_
_atom_site_label
_atom_site_type_symbol
_atom_site_fract_x
_atom_site_fract_y
_atom_site_fract_z
Sr1 Sr 0.000 0.000 0.000
Sr2 Sr 0.500 0.500 0.500
Be1 Be 0.000 0.000 0.500
Be2 Be 0.500 0.500 0.000
Fe1 Fe 0.000 0.500 0.250
Fe2 Fe 0.000 0.500 0.750
Fe3 Fe 0.500 0.000 0.250
Fe4 Fe 0.500 0.000 0.750
```

DFT total energy = -4.64 eV per atom
Theoretical density = 5.19 g/cm³
Calculated formation energy = 0.944 eV/atom
Fermi-level density of states = 0.83 states/eV per atom

***

# 9
# SrBeFe2

SrBeFe2 after structural relaxation (PBE, Alexandria via LeMat-Bulk).

Structure (CIF):
```
data_SrBeFe2
_cell_length_a 4.007
_cell_length_b 4.007
_cell_length_c 4.123
_cell_angle_alpha 90.00
_cell_angle_beta 90.00
_cell_angle_gamma 90.00
_symmetry_space_group_name_H-M 'P 1'
_symmetry_Int_Tables_number 1
_symmetry_space_group_name_Hall 'P 1'
loop_
_atom_site_label
_atom_site_type_symbol
_atom_site_fract_x
_atom_site_fract_y
_atom_site_fract_z
Sr1 Sr 0.000 0.000 0.000
Be1 Be 0.500 0.500 0.000
Fe1 Fe 0.000 0.500 0.500
Fe2 Fe 0.500 0.000 0.500
```

DFT total energy = -4.61 eV per atom
Theoretical density = 5.23 g/cm³
Calculated formation energy = 0.970 eV/atom
Fermi-level density of states = 1.18 states/eV per atom

***

# 10
# SrBe2Fe

SrBe2Fe after structural relaxation (PBE, Alexandria via LeMat-Bulk).

Structure (CIF):
```
data_SrBe2Fe
_cell_length_a 6.746
_cell_length_b 3.899
_cell_length_c 5.845
_cell_angle_alpha 90.00
_cell_angle_beta 112.69
_cell_angle_gamma 90.00
_symmetry_space_group_name_H-M 'P 1'
_symmetry_Int_Tables_number 1
_symmetry_space_group_name_Hall 'P 1'
loop_
_atom_site_label
_atom_site_type_symbol
_atom_site_fract_x
_atom_site_fract_y
_atom_site_fract_z
Sr1 Sr 0.000 0.000 0.000
Sr2 Sr 0.500 0.500 0.000
Be1 Be 0.182 0.000 0.546
Be2 Be 0.318 0.500 0.454
Be3 Be 0.682 0.500 0.546
Be4 Be 0.818 0.000 0.454
Fe1 Fe 0.000 0.500 0.500
Fe2 Fe 0.500 0.000 0.500
```

DFT total energy = -4.17 eV per atom
Theoretical density = 3.78 g/cm³
Calculated formation energy = 0.232 eV/atom
Fermi-level density of states = 0.87 states/eV per atom
Polymorph energy (0 for the lowest one) = 0.026 eV per atom